# Dy3Al2BRu3 | Alexandria | GGA-PBE | relaxed
# - N(E_F) (states/eV per atom) = 0.5253
# - formation energy (eV per atom) = -0.35
data_Dy3Al2BRu3
_chemical_formula_sum 'Dy3 Al2 B1 Ru3'
_symmetry_space_group_name_H-M 'P -6 2 m'
_symmetry_Int_Tables_number 189
_symmetry_space_group_name_Hall 'P -6 -2'
_cell_length_a 7.2750
_cell_length_b 7.2750
_cell_length_c 3.4912
_cell_angle_alpha 90.00
_cell_angle_beta 90.00
_cell_angle_gamma 120.00
loop_
_atom_site_label
_atom_site_type_symbol
_atom_site_fract_x
_atom_site_fract_y
_atom_site_fract_z
Dy1 Dy 0.0000 0.6399 0.0000
Al1 Al 0.3333 0.6667 0.5000
B1 B 0.0000 0.0000 0.0000
Ru1 Ru 0.0000 0.2299 0.5000